Entry 1:
This record from Alexandria via LeMat-Bulk describes a geometry-optimized Pm2TaSi4Rh3 structure. The functional is GGA-PBE. Values from VASP.

Cell and atoms, written as Quantum ESPRESSO input:
```
&SYSTEM
  ibrav = 0, nat = 10, ntyp = 4
/
ATOMIC_SPECIES
Si 28.09 Si.upf
Pm 145.00 Pm.upf
Rh 102.91 Rh.upf
Ta 180.95 Ta.upf
CELL_PARAMETERS angstrom
4.133 0.000 0.000
0.000 4.133 0.000
0.000 0.000 10.458
ATOMIC_POSITIONS angstrom
Si 0.000 2.067 3.673
Si 2.067 2.067 0.000
Si 0.000 0.000 0.000
Si 2.067 0.000 6.785
Pm 2.067 0.000 2.495
Pm 0.000 2.067 7.963
Rh 0.000 0.000 5.229
Rh 0.000 2.067 1.239
Rh 2.067 0.000 9.219
Ta 2.067 2.067 5.229
```

Results
The calculation puts the final energy at -0.2710 hartree per atom. The calculation puts the calculated volume at 17.9 Å³/atom. Its uncorrected formation energy is -863 meV per atom. As for the density of states at the Fermi level: 7.7 states/eV per cell. The symmetry is No. 115. Its magnetic moment is 0.00 μB per formula unit.

=====

Entry 2:
This record from Alexandria via LeMat-Bulk describes a geometry-optimized Pm2TaSiRh6 structure. The functional is GGA-PBE. Values from VASP.

Cell and atoms, written as Quantum ESPRESSO input:
```
&SYSTEM
  ibrav = 0, nat = 10, ntyp = 4
/
ATOMIC_SPECIES
Pm 145.00 Pm.upf
Rh 102.91 Rh.upf
Ta 180.95 Ta.upf
Si 28.09 Si.upf
CELL_PARAMETERS angstrom
6.066 -0.002 -0.011
0.004 7.065 0.717
3.040 3.978 4.996
ATOMIC_POSITIONS angstrom
Pm 3.040 7.029 2.840
Pm 6.070 4.012 2.862
Rh 7.724 9.031 5.265
Rh 1.386 2.009 0.437
Rh 4.427 9.032 5.274
Rh 3.035 3.358 2.594
Rh 6.075 7.683 3.108
Rh 4.683 2.009 0.429
Ta 0.000 0.000 0.000
Si 3.035 3.532 0.353
```

Results
The calculation puts the final energy at -0.2770 hartree per atom. The calculation puts the calculated volume at 19.7 Å³/atom. Its uncorrected formation energy is -448 meV per atom. As for the density of states at the Fermi level: 3.8 states/eV per cell. The symmetry is No. 12. Its magnetic moment is 0.00 μB per formula unit.

=====

Entry 3:
This record from Alexandria via LeMat-Bulk describes a geometry-optimized TbPmSiRh structure. The functional is GGA-PBE. Values from VASP.

Cell and atoms, written as Quantum ESPRESSO input:
```
&SYSTEM
  ibrav = 0, nat = 4, ntyp = 4
/
ATOMIC_SPECIES
Si 28.09 Si.upf
Pm 145.00 Pm.upf
Rh 102.91 Rh.upf
Tb 158.93 Tb.upf
CELL_PARAMETERS angstrom
-2.010 -2.830 3.599
-3.040 -3.785 -1.200
1.526 -4.723 0.612
ATOMIC_POSITIONS angstrom
Si -2.643 -8.503 2.259
Pm 0.000 0.000 0.000
Rh -0.881 -2.834 0.753
Tb -1.762 -5.669 1.506
```

Results
The calculation puts the final energy at -0.2254 hartree per atom. The calculation puts the calculated volume at 22.1 Å³/atom. Its energy above the most stable polymorph in this dataset is 0.210 eV/atom. Its uncorrected formation energy is -594 meV per atom. As for the density of states at the Fermi level: 2.2 states/eV per cell. The symmetry is No. 216. Its magnetic moment is 0.00 μB per formula unit.

=====

Entry 4:
This record from Alexandria via LeMat-Bulk describes a geometry-optimized TbPmSiRh structure. The functional is GGA-PBE. Values from VASP.

Cell and atoms, written as Quantum ESPRESSO input:
```
&SYSTEM
  ibrav = 0, nat = 4, ntyp = 4
/
ATOMIC_SPECIES
Tb 158.93 Tb.upf
Pm 145.00 Pm.upf
Si 28.09 Si.upf
Rh 102.91 Rh.upf
CELL_PARAMETERS angstrom
4.223 0.000 0.000
0.000 4.087 0.000
-2.112 0.000 5.287
ATOMIC_POSITIONS angstrom
Tb 2.112 2.044 3.836
Pm 0.000 0.000 1.532
Si 2.112 2.044 0.702
Rh 0.000 0.000 4.504
```

Results
The calculation puts the final energy at -0.2331 hartree per atom. The calculation puts the calculated volume at 22.8 Å³/atom. Its energy above the most stable polymorph in this dataset is 0.000 eV/atom. Its uncorrected formation energy is -804 meV per atom. As for the density of states at the Fermi level: 3.1 states/eV per cell. The symmetry is No. 38. Its magnetic moment is 0.00 μB per formula unit.

=====

Entry 5:
This record from Alexandria via LeMat-Bulk describes a geometry-optimized PmThSiRh structure. The functional is GGA-PBE. Values from VASP.

Cell and atoms, written as Quantum ESPRESSO input:
```
&SYSTEM
  ibrav = 0, nat = 4, ntyp = 4
/
ATOMIC_SPECIES
Pm 145.00 Pm.upf
Th 232.04 Th.upf
Si 28.09 Si.upf
Rh 102.91 Rh.upf
CELL_PARAMETERS angstrom
-4.306 -2.584 0.797
-2.409 -2.193 -3.904
-0.044 -5.066 -0.439
ATOMIC_POSITIONS angstrom
Pm -3.379 -4.921 -1.773
Th 0.000 0.000 0.000
Si -5.069 -7.382 -2.659
Rh -1.690 -2.461 -0.886
```

Results
The calculation puts the final energy at -0.2481 hartree per atom. The calculation puts the calculated volume at 23.2 Å³/atom. Its uncorrected formation energy is -516 meV per atom. As for the density of states at the Fermi level: 2.7 states/eV per cell. The symmetry is No. 216. Its magnetic moment is 0.00 μB per formula unit.

=====

Entry 6:
This record from Alexandria via LeMat-Bulk describes a geometry-optimized Pm2TiSi4Rh3 structure. The functional is GGA-PBE. Values from VASP.

Cell and atoms, written as Quantum ESPRESSO input:
```
&SYSTEM
  ibrav = 0, nat = 10, ntyp = 4
/
ATOMIC_SPECIES
Rh 102.91 Rh.upf
Si 28.09 Si.upf
Pm 145.00 Pm.upf
Ti 47.87 Ti.upf
CELL_PARAMETERS angstrom
4.131 0.000 0.000
0.000 4.131 0.000
0.000 0.000 10.384
ATOMIC_POSITIONS angstrom
Rh 0.000 0.000 5.192
Rh 2.065 0.000 9.147
Rh 0.000 2.065 1.237
Si 0.000 2.065 3.680
Si 2.065 0.000 6.705
Si 0.000 0.000 0.000
Si 2.065 2.065 0.000
Pm 0.000 2.065 7.878
Pm 2.065 0.000 2.507
Ti 2.065 2.065 5.192
```

Results
The calculation puts the final energy at -0.2587 hartree per atom. The calculation puts the calculated volume at 17.7 Å³/atom. Its uncorrected formation energy is -925 meV per atom. As for the density of states at the Fermi level: 7.8 states/eV per cell. The symmetry is No. 115. Its magnetic moment is 0.00 μB per formula unit.

=====

> What is the formula in the fifth record?

PmThSiRh

=====

Please write out number 6 again, unchanged.
This record from Alexandria via LeMat-Bulk describes a geometry-optimized Pm2TiSi4Rh3 structure. The functional is GGA-PBE. Values from VASP.

Cell and atoms, written as Quantum ESPRESSO input:
```
&SYSTEM
  ibrav = 0, nat = 10, ntyp = 4
/
ATOMIC_SPECIES
Rh 102.91 Rh.upf
Si 28.09 Si.upf
Pm 145.00 Pm.upf
Ti 47.87 Ti.upf
CELL_PARAMETERS angstrom
4.131 0.000 0.000
0.000 4.131 0.000
0.000 0.000 10.384
ATOMIC_POSITIONS angstrom
Rh 0.000 0.000 5.192
Rh 2.065 0.000 9.147
Rh 0.000 2.065 1.237
Si 0.000 2.065 3.680
Si 2.065 0.000 6.705
Si 0.000 0.000 0.000
Si 2.065 2.065 0.000
Pm 0.000 2.065 7.878
Pm 2.065 0.000 2.507
Ti 2.065 2.065 5.192
```

Results
The calculation puts the final energy at -0.2587 hartree per atom. The calculation puts the calculated volume at 17.7 Å³/atom. Its uncorrected formation energy is -925 meV per atom. As for the density of states at the Fermi level: 7.8 states/eV per cell. The symmetry is No. 115. Its magnetic moment is 0.00 μB per formula unit.